# 1
Entry from the Alexandria database: an optimized crystal structure of Ac2ZnCd4Hg3 (PBE).

Results
Volume ... 26.74 A^3/atom
DFT formation energy ... -0.268 eV per atom

abc: 4.6801 4.6801 12.2099
angles: 90.00 90.00 90.00
Closest atoms and distances in Å follow each position.
Space group P-4m2 (No. 115)
Symmetry-distinct sites (fractional):
Ac (0.0000, 0.5000, 0.2386) x2  8 Cd 3.58-3.96, 6 Hg 3.60-3.74, 2 Zn 3.74
Zn (0.5000, 0.5000, 0.0000) x1  4 Cd 2.80
Cd (0.0000, 0.0000, 0.5000) x1  4 Hg 2.93
Cd (0.0000, 0.5000, 0.8741) x2  3 Hg 2.80, 2 Zn 2.80
Cd (0.5000, 0.5000, 0.5000) x1  4 Hg 2.93
Hg (0.0000, 0.0000, 0.0000) x1  4 Cd 2.80
Hg (0.0000, 0.5000, 0.6446) x2  5 Cd 2.80-2.93

=====

# 2
Entry from the Alexandria database: an optimized crystal structure of Tm5As2Se2 (PBE).

Results
Volume ... 22.59 A^3/atom
ΔE_f (raw) ... -1.276 eV/atom

abc: 14.3041 7.5047 7.5747
angles: 90.00 90.00 90.00
Closest atoms and distances in Å follow each position.
Space group Cmce (No. 64)
Symmetry-distinct sites (fractional):
Tm (0.0000, 0.0000, 0.0000) x4  2 Se 2.82, 4 As 2.87-2.91
Tm (0.1351, 0.1581, 0.3445) x16  3 As 2.86-3.00, 3 Se 2.92-3.00
As (0.0000, 0.1468, 0.6450) x8  8 Tm 2.86-3.00, 1 As 3.11
Se (0.1974, 0.0000, 0.0000) x8  7 Tm 2.82-3.00

=====

# 3
Entry from the Alexandria database: an optimized crystal structure of CeCdNiPd (PBE).

Results
Volume ... 19.35 A^3/atom
DFT formation energy ... -0.376 eV per atom

abc: 6.7644 6.7644 6.7644
angles: 90.00 90.00 90.00
Closest atoms and distances in Å follow each position.
Space group F-43m (No. 216)
Symmetry-distinct sites (fractional):
Ce (0.0000, 0.0000, 0.0000) x4  4 Ni 2.93, 4 Pd 2.93
Cd (0.0000, 0.0000, 0.5000) x4  4 Ni 2.93, 4 Pd 2.93
Ni (0.2500, 0.2500, 0.2500) x4  4 Cd 2.93, 4 Ce 2.93
Pd (0.2500, 0.2500, 0.7500) x4  4 Cd 2.93, 4 Ce 2.93

=====

# 4
Entry from the Alexandria database: an optimized crystal structure of Pm12Pd6Ru (PBE).

Results
Volume ... 30.00 A^3/atom
DFT formation energy ... -0.450 eV per atom

abc: 12.6413 12.6413 12.3557
angles: 90.00 90.00 120.00
Closest atoms and distances in Å follow each position.
Space group R-3 (No. 148, hexagonal axes)
Symmetry-distinct sites (fractional):
Pm (0.0244, 0.8146, 0.3930) x18  3 Pd 2.82-3.02
Pm (0.0441, 0.8436, 0.8811) x18  1 Ru 2.74, 2 Pd 2.95-3.03
Pd (0.0425, 0.7751, 0.6462) x18  5 Pm 2.82-3.03
Ru (0.0000, 0.0000, 0.0000) x3  6 Pm 2.74

=====

# 5
Entry from the Alexandria database: an optimized crystal structure of V3CrW4 (PBE).

Results
Volume ... 14.97 A^3/atom
DFT formation energy ... 0.181 eV per atom
Energy above the most stable polymorph in this dataset ... 248 meV per atom

abc: 8.8604 5.2304 5.1690
angles: 90.00 90.00 90.00
Closest atoms and distances in Å follow each position.
Space group Pmn2_1 (No. 31)
Symmetry-distinct sites (fractional):
V (0.0000, 0.2157, 0.0000) x2  2 Cr 2.55-2.68, 4 W 2.59-2.77, 2 V 2.69
V (0.2482, 0.9169, 0.7587) x4  4 W 2.60-2.72, 3 V 2.69-2.73, 1 Cr 2.72
Cr (0.0000, 0.7286, 0.0046) x2  4 V 2.55-2.72, 4 W 2.58-2.66
W (0.0000, 0.2637, 0.4994) x2  4 W 2.58-2.71, 4 V 2.59-2.72
W (0.0000, 0.7700, 0.5080) x2  2 Cr 2.58-2.61, 4 W 2.58-2.74, 2 V 2.67
W (0.2482, 0.5853, 0.2548) x4  3 V 2.60-2.77, 1 Cr 2.66, 4 W 2.71-2.74

=====

# 6
Entry from the Alexandria database: an optimized crystal structure of DyZn2Rh2 (PBE).

Results
Volume ... 16.39 A^3/atom
DFT formation energy ... -0.544 eV per atom
Energy above the most stable polymorph in this dataset ... 0 meV per atom

abc: 7.2772 7.2772 3.0952
angles: 90.00 90.00 90.00
Closest atoms and distances in Å follow each position.
Space group P4/mbm (No. 127)
Symmetry-distinct sites (fractional):
Dy (0.0000, 0.0000, 0.0000) x2  4 Zn 2.90, 2 Dy 3.10, 8 Rh 3.10
Zn (0.1198, 0.3802, 0.0000) x4  1 Zn 2.47, 6 Rh 2.61-2.69
Rh (0.1764, 0.6764, 0.5000) x4  6 Zn 2.61-2.69

=====

Ordered total energy results: -1.67, -5.57, -4.83, -5.58, -10.92, -4.91; unit eV/atom.